First-principles (PBE) data for crystalline LaAl2C2 at its relaxed geometry, as listed in the Alexandria database.

Summary:
formation energy from the elements = 0.11 eV/atom
volume = 14.2 A^3/atom
excess energy over the best structure of this formula in the dataset = 0.0000 eV per atom
density = 5.08 Mg/m³

abc: 4.015 4.015 8.792
angles: 90.00 90.00 90.00
Space group I4/mmm (No. 139)
One atom of each set of equivalent atoms:
La 0.000 0.000 0.000 [2 per cell]
Al 0.000 0.000 0.331 [4 per cell]
C 0.000 0.500 0.250 [4 per cell]